Record 1
A geometry-optimized Sc2Cl2O structure. Source: Alexandria via LeMat-Bulk, functional PBE-GGA.

Cell lengths 3.5918, 6.1718, 9.9465 Å; angles 97.17, 100.40, 90.00 degrees
Positions (direct):
Sc 0.1792 0.8829 0.3584
Sc 0.8208 0.1171 0.6416
Sc 0.3169 0.5995 0.6337
Sc 0.6831 0.4005 0.3663
Cl 0.1005 0.1895 0.2011
Cl 0.8995 0.8105 0.7989
Cl 0.4065 0.3010 0.8130
Cl 0.5935 0.6990 0.1870
O 0.2107 0.5799 0.4214
O 0.7893 0.4201 0.5786

Record 2
A geometry-optimized ScClO structure. Source: Alexandria via LeMat-Bulk, functional PBE-GGA.

Cell lengths 5.4836, 5.4836, 3.8554 Å; angles 90.00, 90.00, 90.00 degrees
Positions (direct):
Sc 0.0000 0.5000 0.0709
Sc 0.5000 0.0000 0.9291
Cl 0.5000 0.5000 0.0000
Cl 0.0000 0.0000 0.0000
O 0.0000 0.5000 0.5633
O 0.5000 0.0000 0.4367

no.,ΔE_f (raw) (eV/atom)
1,-2.33
2,-2.41